# 1
## CrCuAu2 (PBEsol)

Data for crystalline CrCuAu2 at its relaxed geometry.

abc: 3.151 3.254 5.844
angles: 90.00 90.00 90.00
Space group Pmmm (No. 47)
Symmetry-distinct sites (fractional):
Cr  0.000  0.000  0.000 [1 per cell]
Cu  0.000  0.000  0.500 [1 per cell]
Au  0.500  0.500  0.258 [2 per cell]

## Properties
Energy = -5.484 eV per atom
E_form = 11.8 kJ/mol of atoms

---

# 2
## Cr2CuAu (PBEsol)

Data for crystalline Cr2CuAu at its relaxed geometry.

abc: 3.042 3.042 5.702
angles: 90.00 90.00 90.00
Space group P4mm (No. 99)
Symmetry-distinct sites (fractional):
Cr  0.000  0.000  0.000 [1 per cell]
Cr  0.500  0.500  0.201 [1 per cell]
Cu  0.000  0.000  0.448 [1 per cell]
Au  0.500  0.500  0.705 [1 per cell]

## Properties
Energy = -7.003 eV per atom
E_form = 17.6 kJ/mol of atoms

---

# 3
## ScCrCuAu2 (PBEsol)

Data for crystalline ScCrCuAu2 at its relaxed geometry.

abc: 4.719 4.719 4.466
angles: 90.00 90.00 90.00
Space group P4/mmm (No. 123)
Symmetry-distinct sites (fractional):
Sc  0.000  0.000  0.000 [1 per cell]
Cr  0.500  0.500  0.000 [1 per cell]
Cu  0.000  0.000  0.500 [1 per cell]
Au  0.000  0.500  0.500 [2 per cell]

## Properties
Energy = -5.220 eV per atom
E_form = 56.5 kJ/mol of atoms

---

# 4
## CrAuF3 (PBEsol)

Data for crystalline CrAuF3 at its relaxed geometry.

abc: 4.350 4.350 4.350
angles: 90.00 90.00 90.00
Space group Pm-3m (No. 221)
Symmetry-distinct sites (fractional):
Cr  0.000  0.000  0.000 [1 per cell]
Au  0.500  0.500  0.500 [1 per cell]
F  0.000  0.500  0.500 [3 per cell]

## Properties
Raw formation energy = -441 meV/atom
Energy = -4.431 eV per atom

---

# 5
## CrAuF3 (PBEsol)

Data for crystalline CrAuF3 at its relaxed geometry.

abc: 3.995 3.995 3.995
angles: 90.00 90.00 90.00
Space group Pm-3m (No. 221)
Symmetry-distinct sites (fractional):
Cr  0.000  0.000  0.000 [1 per cell]
Au  0.500  0.500  0.500 [1 per cell]
F  0.000  0.000  0.500 [3 per cell]

## Properties
Raw formation energy = -1370 meV/atom
Energy = -5.360 eV per atom

---

# 6
## Cr3AuF (PBEsol)

Data for crystalline Cr3AuF at its relaxed geometry.

abc: 4.955 4.955 4.955
angles: 90.00 90.00 90.00
Space group Pm-3m (No. 221)
Symmetry-distinct sites (fractional):
Cr  0.000  0.000  0.500 [3 per cell]
Au  0.000  0.000  0.000 [1 per cell]
F  0.500  0.500  0.500 [1 per cell]

## Properties
Raw formation energy = 1253 meV/atom
Energy = -6.063 eV per atom

---

# 7
## CrAuOF2 (PBEsol)

Data for crystalline CrAuOF2 at its relaxed geometry.

abc: 4.032 4.032 3.652
angles: 90.00 90.00 90.00
Space group P4/mmm (No. 123)
Symmetry-distinct sites (fractional):
Cr  0.000  0.000  0.000 [1 per cell]
Au  0.500  0.500  0.500 [1 per cell]
O  0.000  0.000  0.500 [1 per cell]
F  0.000  0.500  0.000 [2 per cell]

## Properties
Raw formation energy = -1198 meV/atom
Energy = -5.852 eV per atom

---

# 8
## CrP2AuF (PBEsol)

Data for crystalline CrP2AuF at its relaxed geometry.

abc: 4.571 4.571 5.313
angles: 90.00 90.00 90.00
Space group P4/mmm (No. 123)
Symmetry-distinct sites (fractional):
Cr  0.000  0.000  0.000 [1 per cell]
P  0.000  0.500  0.500 [2 per cell]
Au  0.000  0.000  0.500 [1 per cell]
F  0.500  0.500  0.000 [1 per cell]

## Properties
Raw formation energy = 886 meV/atom
Energy = -4.649 eV per atom

---

# 9
## CrFe3Au (PBEsol)

Data for crystalline CrFe3Au at its relaxed geometry.

abc: 4.130 4.130 4.130
angles: 90.00 90.00 90.00
Space group Pm-3m (No. 221)
Symmetry-distinct sites (fractional):
Cr  0.000  0.000  0.000 [1 per cell]
Fe  0.000  0.000  0.500 [3 per cell]
Au  0.500  0.500  0.500 [1 per cell]

## Properties
Energy = -7.112 eV per atom
E_form = 106.1 kJ/mol of atoms

---

# 10
## Cr2FeAu (PBEsol)

Data for crystalline Cr2FeAu at its relaxed geometry.

abc: 5.953 5.953 5.953
angles: 90.00 90.00 90.00
Space group F-43m (No. 216)
Symmetry-distinct sites (fractional):
Cr  0.000  0.000  0.000 [4 per cell]
Cr  0.250  0.250  0.250 [4 per cell]
Fe  0.000  0.000  0.500 [4 per cell]
Au  0.250  0.250  0.750 [4 per cell]

## Properties
Energy = -7.938 eV per atom
E_form = 39.1 kJ/mol of atoms

---

# 11
## TlCrGa2Au (PBEsol)

Data for crystalline TlCrGa2Au at its relaxed geometry.

abc: 4.797 4.797 5.202
angles: 90.00 90.00 90.00
Space group P4/mmm (No. 123)
Symmetry-distinct sites (fractional):
Tl  0.000  0.000  0.000 [1 per cell]
Cr  0.500  0.500  0.000 [1 per cell]
Ga  0.000  0.500  0.500 [2 per cell]
Au  0.500  0.500  0.500 [1 per cell]

## Properties
Energy = -4.220 eV per atom
E_form = 45.9 kJ/mol of atoms

---

# 12
## CrGeAu3 (PBEsol)

Data for crystalline CrGeAu3 at its relaxed geometry.

abc: 4.755 4.755 4.755
angles: 90.00 90.00 90.00
Space group Pm-3m (No. 221)
Symmetry-distinct sites (fractional):
Cr  0.000  0.000  0.000 [1 per cell]
Ge  0.500  0.500  0.500 [1 per cell]
Au  0.000  0.500  0.500 [3 per cell]

## Properties
Energy = -4.688 eV per atom
E_form = 67.8 kJ/mol of atoms